No. 1
Here is crystalline KLaSe2 at its relaxed geometry from the Alexandria database. Energies are from PBEsol.

The structure belongs to space group Imm2 (No. 44); the cell edges are 3.9342, 4.1288 and 15.4641 Å and the angles 90.00°, 90.00° and 90.00°. The asymmetric unit holds K at (0.0000, 0.0000, 0.0000), La at (0.0000, 0.5000, 0.7581), Se at (0.0000, 0.0000, 0.3944) and Se at (0.0000, 0.5000, 0.1816).

The total energy is -41.4 eV/cell. The total magnetization comes out at 0.00 μB per atom.


No. 2
Here is crystalline KLaSe2 at its relaxed geometry from the Alexandria database. Energies are from PBEsol.

The structure belongs to space group P4/mmm (No. 123); the cell edges are 5.2179, 5.2179 and 3.7476 Å and the angles 90.00°, 90.00° and 90.00°. The asymmetric unit holds K at (0.0000, 0.0000, 0.0000), La at (0.5000, 0.5000, 0.0000) and Se at (0.0000, 0.5000, 0.5000).

The total energy is -20.1 eV/cell. The total magnetization comes out at 0.00 μB per atom. The value obtained for the density of states at the Fermi level is 0.142 states/eV/atom.